First-principles (PBE) data for ZnCo2Br after structural relaxation, as listed in the Alexandria database.

Cell and atoms, written as POSCAR:
```
ZnCo2Br
1.0
4.549 -0.011 0.029
3.469 2.943 0.029
4.435 1.622 5.799
Br Co Zn
1 2 1
Cartesian
3.113 1.138 1.464
11.549 4.223 5.192
7.129 2.607 3.593
9.339 3.415 4.393
```

Crystal system   monoclinic
E above lowest polymorph   40.4 meV per atom
Magnetization   3.5 μB per cell
Density of states at the Fermi level   0.993 states/eV per atom
Mass density   5.6 Mg/m³
Uncorrected formation energy   310 meV/atom